Entry 1:
An optimized crystal structure of Ba2TcW, computed with PBE.

Cell: 12.2465 12.2465 4.6510 Å, 90.00 90.00 90.00°
Last column: nearest neighbours and their distance in Å.
Space group I-42d (No. 122)
Asymmetric unit:
Ba: 0.0702 0.7500 0.1250  2 Tc 3.23
Tc: 0.0000 0.0000 0.0000  2 W 2.33
W: 0.0000 0.0000 0.5000  2 Tc 2.33

Offset from the most stable computed form   2.75 eV per formula unit
Density   5.30 g cm⁻³
Crystal system   tetragonal
E_form   1196 meV per atom
Total magnetic moment   1.35 μB/f.u.
D(E_F)   6.69 states/eV/f.u.



Entry 2:
An optimized crystal structure of SrLa3Zn, computed with PBE.

Cell: 5.9316 5.9316 5.9316 Å, 90.00 90.00 90.00°
Last column: nearest neighbours and their distance in Å.
Space group Pm-3m (No. 221)
Asymmetric unit:
Sr: 0.0000 0.0000 0.0000  6 La 2.97
La: 0.0000 0.0000 0.5000  2 Sr 2.97
Zn: 0.5000 0.5000 0.5000  12 La 4.19

Offset from the most stable computed form   4.42 eV per formula unit
Density   4.53 g cm⁻³
Crystal system   cubic
E_form   1013 meV per atom
Total magnetic moment   0.00 μB/f.u.
D(E_F)   8.97 states/eV/f.u.



Entry 3:
An optimized crystal structure of PmZn9Au3, computed with PBE.

Cell: 5.4838 12.7530 6.9221 Å, 90.00 112.42 90.00°
Last column: nearest neighbours and their distance in Å.
Space group C2/m (No. 12)
Asymmetric unit:
Pm: 0.0000 0.0000 0.0000  14 Zn 3.23-3.50, 6 Au 3.46-3.47
Zn: 0.0000 0.5000 0.5000  8 Zn 2.61-2.80, 2 Au 2.74
Zn: 0.1005 0.3944 0.2166  5 Zn 2.61-2.91, 3 Au 2.67-2.69
Zn: 0.1807 0.1778 0.3584  3 Zn 2.58-2.87, 3 Au 2.80-2.85
Au: 0.0000 0.0000 0.5000  10 Zn 2.68-2.80
Au: 0.2500 0.2500 0.0000  8 Zn 2.67-2.85, 2 Au 2.74

Density   9.83 g cm⁻³
Crystal system   monoclinic
E_form   -244 meV per atom
Total magnetic moment   0.00 μB/f.u.
D(E_F)   5.74 states/eV/f.u.



Entry 4:
An optimized crystal structure of SrScIO2, computed with PBE.

Cell: 4.5927 4.5927 6.0727 Å, 90.00 90.00 90.00°
Last column: nearest neighbours and their distance in Å.
Space group P4/mmm (No. 123)
Asymmetric unit:
Sr: 0.0000 0.0000 0.0000  4 O 2.30
Sc: 0.5000 0.5000 0.5000  4 I 3.25
I: 0.0000 0.0000 0.5000  2 Sr 3.04, 4 Sc 3.25
O: 0.0000 0.5000 0.0000  2 Sr 2.30

Offset from the most stable computed form   6.49 eV per formula unit
Density   3.78 g cm⁻³
Uncorrected formation energy   -0.658 eV per atom
Crystal system   tetragonal
Total magnetic moment   1.69 μB/f.u.
D(E_F)   5.56 states/eV/f.u.



Entry 5:
An optimized crystal structure of NbFeSeBr2, computed with PBE.

Cell: 5.2970 5.2970 5.0237 Å, 90.00 90.00 90.00°
Last column: nearest neighbours and their distance in Å.
Space group P4/mmm (No. 123)
Asymmetric unit:
Nb: 0.0000 0.0000 0.0000  2 Se 2.51, 4 Br 2.65
Fe: 0.5000 0.5000 0.5000  8 Br 3.65, 4 Se 3.75
Se: 0.0000 0.0000 0.5000  2 Nb 2.51
Br: 0.0000 0.5000 0.0000  2 Nb 2.65

Offset from the most stable computed form   0.00 eV per formula unit
Density   4.57 g cm⁻³
Uncorrected formation energy   0.384 eV per atom
Crystal system   tetragonal
Total magnetic moment   5.48 μB/f.u.
D(E_F)   9.46 states/eV/f.u.



Entry 6:
An optimized crystal structure of YHgSeBr2, computed with PBE.

Cell: 5.5378 5.5378 5.6890 Å, 90.00 90.00 90.00°
Last column: nearest neighbours and their distance in Å.
Space group P4/mmm (No. 123)
Asymmetric unit:
Y: 0.0000 0.0000 0.0000  4 Br 2.77, 2 Se 2.84
Hg: 0.5000 0.5000 0.5000  4 Se 3.92, 8 Br 3.97
Se: 0.0000 0.0000 0.5000  2 Y 2.84
Br: 0.0000 0.5000 0.0000  2 Y 2.77

Offset from the most stable computed form   0.00 eV per formula unit
Density   5.03 g cm⁻³
Uncorrected formation energy   -1.011 eV per atom
Crystal system   tetragonal
Total magnetic moment   0.00 μB/f.u.
D(E_F)   3.25 states/eV/f.u.



Entry 7:
An optimized crystal structure of LaTa2Cl, computed with PBE.

Cell: 3.1470 5.9982 10.1555 Å, 90.00 90.00 90.00°
Last column: nearest neighbours and their distance in Å.
Space group Imm2 (No. 44)
Asymmetric unit:
La: 0.0000 0.0000 0.0000  2 Cl 3.06, 2 La 3.15, 4 Ta 3.42
Ta: 0.0000 0.0000 0.5432  2 Cl 2.56, 2 Ta 2.70
Ta: 0.0000 0.5000 0.8276  2 Ta 2.70
Cl: 0.0000 0.5000 0.2416  2 Ta 2.56

Offset from the most stable computed form   2.50 eV per formula unit
Density   9.29 g cm⁻³
Uncorrected formation energy   0.427 eV per atom
Crystal system   orthorhombic
Total magnetic moment   0.67 μB/f.u.
D(E_F)   5.37 states/eV/f.u.



Entry 8:
An optimized crystal structure of LaTlNiSn2, computed with PBE.

Cell: 5.0252 5.0252 5.2686 Å, 90.00 90.00 90.00°
Last column: nearest neighbours and their distance in Å.
Space group P4/mmm (No. 123)
Asymmetric unit:
La: 0.0000 0.0000 0.0000  2 Ni 2.63
Tl: 0.5000 0.5000 0.0000  4 La 3.55, 8 Sn 3.64
Ni: 0.0000 0.0000 0.5000  4 Sn 2.51, 2 La 2.63
Sn: 0.0000 0.5000 0.5000  2 Ni 2.51

Density   7.98 g cm⁻³
Crystal system   tetragonal
E_form   -317 meV per atom
Total magnetic moment   0.00 μB/f.u.
D(E_F)   3.15 states/eV/f.u.



Entry 9:
An optimized crystal structure of Rb4Pm3AlO8, computed with PBE.

Cell: 12.4601 6.9174 7.6936 Å, 90.00 120.95 90.00°
Last column: nearest neighbours and their distance in Å.
Space group C2/m (No. 12)
Asymmetric unit:
Rb: 0.0000 0.0000 0.0000  2 O 2.72
Rb: 0.0000 0.5000 0.0000  6 O 2.91-3.06
Rb: 0.2500 0.2500 0.0000  6 O 2.86-3.07
Pm: 0.0000 0.0000 0.5000  6 O 2.36-2.44
Pm: 0.2500 0.2500 0.5000  6 O 2.34-2.46
Al: 0.0000 0.5000 0.5000  4 O 1.96
O: 0.0225 0.2933 0.3464  1 Al 1.96
O: 0.2206 0.0000 0.6812  3 Pm 2.36-2.37
O: 0.2467 0.0000 0.2925  2 Pm 2.34

Density   5.44 g cm⁻³
Uncorrected formation energy   -2.380 eV per atom
Crystal system   monoclinic
Total magnetic moment   0.00 μB/f.u.
D(E_F)   0.00 states/eV/f.u.



Entry 10:
An optimized crystal structure of CuSbRu2, computed with PBE.

Cell: 3.0603 3.0603 23.6285 Å, 90.00 90.00 120.00°
Last column: nearest neighbours and their distance in Å.
Space group R-3m (No. 166, hexagonal axes)
Asymmetric unit:
Cu: 0.0000 0.0000 0.0000  6 Ru 2.63
Sb: 0.0000 0.0000 0.5000  6 Ru 2.66
Ru: 0.0000 0.0000 0.2507  3 Cu 2.63, 3 Sb 2.66

Density   10.07 g cm⁻³
Uncorrected formation energy   0.425 eV per atom
Crystal system   trigonal
Total magnetic moment   0.00 μB/f.u.
D(E_F)   4.71 states/eV/f.u.



Entry 11:
An optimized crystal structure of ZnFePb, computed with PBE.

Cell: 6.4039 6.4039 6.4039 Å, 90.00 90.00 90.00°
Last column: nearest neighbours and their distance in Å.
Space group F-43m (No. 216)
Asymmetric unit:
Zn: 0.0000 0.0000 0.0000  4 Pb 2.77
Fe: 0.0000 0.0000 0.5000  4 Pb 2.77
Pb: 0.2500 0.2500 0.2500  4 Fe 2.77, 4 Zn 2.77

Offset from the most stable computed form   1.02 eV per formula unit
Density   8.31 g cm⁻³
Crystal system   cubic
E_form   752 meV per atom
Total magnetic moment   2.96 μB/f.u.
D(E_F)   6.19 states/eV/f.u.



Entry 12:
An optimized crystal structure of Pm3PtC2N6, computed with PBE.

Cell: 5.3143 5.3143 6.5777 Å, 90.00 90.00 120.00°
Last column: nearest neighbours and their distance in Å.
Space group P-3m1 (No. 164)
Asymmetric unit:
Pm: 0.0000 0.0000 0.0000  6 N 2.41
Pm: 0.3333 0.6667 0.6673  1 C 2.65, 6 N 2.71
Pt: 0.0000 0.0000 0.5000  6 N 2.32
C: 0.3333 0.6667 0.2640  3 N 1.37
N: 0.1844 0.3689 0.2595  1 C 1.37

Density   7.62 g cm⁻³
Uncorrected formation energy   -0.424 eV per atom
Crystal system   trigonal
Total magnetic moment   0.00 μB/f.u.
D(E_F)   2.14 states/eV/f.u.



What did the second record say?
An optimized crystal structure of SrLa3Zn, computed with PBE.

Cell: 5.9316 5.9316 5.9316 Å, 90.00 90.00 90.00°
Last column: nearest neighbours and their distance in Å.
Space group Pm-3m (No. 221)
Asymmetric unit:
Sr: 0.0000 0.0000 0.0000  6 La 2.97
La: 0.0000 0.0000 0.5000  2 Sr 2.97
Zn: 0.5000 0.5000 0.5000  12 La 4.19

Offset from the most stable computed form   4.42 eV per formula unit
Density   4.53 g cm⁻³
Crystal system   cubic
E_form   1013 meV per atom
Total magnetic moment   0.00 μB/f.u.
D(E_F)   8.97 states/eV/f.u.



> Among the records above, which one has the highest density?

CuSbRu2



> Which value of density does entry 6 give?

5.03 g cm⁻³